Entry 1:
Density functional theory data (PBE) for crystalline YRe2Pb at its relaxed geometry.

POSCAR file:
```
YRe2Pb
1.0
-3.615 -3.091 0.647
-4.378 1.044 -1.669
-1.784 -2.423 -3.740
Y Re Pb
1 2 1
Cartesian
-2.444 -1.117 -1.191 Y
0.000 0.000 0.000 Re
-7.333 -3.352 -3.572 Re
-4.888 -2.235 -2.381 Pb
```

Values from the calculation:
The value obtained for the raw total energy is -32.08 eV for the cell shown. The calculated volume is 19.55 Å³/atom.

=====

Entry 2:
Density functional theory data (PBE) for crystalline ZrTeS at its relaxed geometry.

POSCAR file:
```
ZrTeS
1.0
-0.687 -0.852 3.666
-2.393 -5.904 -1.821
12.521 -5.411 1.089
Zr Te S
4 4 4
Cartesian
0.204 -0.287 -0.029 Zr
3.865 -8.983 0.633 Zr
5.430 -5.614 -0.287 Zr
-1.313 -3.678 0.895 Zr
3.701 -4.295 1.692 Te
10.214 -6.355 2.434 Te
2.847 -6.802 -1.047 Te
9.376 -8.868 -0.304 Te
7.409 -4.150 0.424 S
5.872 -7.543 1.344 S
-0.933 -6.161 0.390 S
0.619 -2.774 -0.529 S
```

Values from the calculation:
The offset from the most stable computed form is 0.27 kJ/mol of atoms. The calculated volume is 28.90 Å³/atom.